No. 1
A PBEsol-optimized structure of Mg3BeMo. Source: Alexandria via LeMat-Bulk, functional SCAN.

Cell lengths 5.100, 5.100, 5.100 Å; angles 90.00, 90.00, 90.00 degrees
Space group Pm-3m (No. 221)
Inequivalent atoms, fractional coordinates:
Mg1 0.000 0.000 0.500 x3
Be1 0.500 0.500 0.500 x1
Mo1 0.000 0.000 0.000 x1

Values from the calculation:
Energy of formation from the pure elements ... 1584 meV per atom

---

No. 2
A PBEsol-optimized structure of K3Li3TeO6. Source: Alexandria via LeMat-Bulk, functional SCAN.

Cell lengths 11.646, 5.970, 9.687 Å; angles 90.00, 90.00, 90.00 degrees
Space group Pnma (No. 62)
Inequivalent atoms, fractional coordinates:
K1 0.007 0.250 0.207 x4
K2 0.027 0.250 0.872 x4
K3 0.038 0.750 0.459 x4
Li1 0.243 0.506 0.835 x8
Li2 0.249 0.250 0.090 x4
Te1 0.244 0.250 0.586 x4
O1 0.146 0.010 0.661 x8
O2 0.157 0.512 0.013 x8
O3 0.163 0.250 0.408 x4
O4 0.175 0.750 0.262 x4

Values from the calculation:
Final energy ... -10.048 eV per atom